A relaxed structure of LiTe2Mo. Source: the Alexandria database, functional PBE. Values from VASP.

```
&SYSTEM
  ibrav = 0, nat = 4, ntyp = 3
/
ATOMIC_SPECIES
Li 6.94 Li.upf
Te 127.60 Te.upf
Mo 95.94 Mo.upf
ATOMIC_POSITIONS crystal
Li 0.0000 0.0000 0.0000
Te 0.5000 0.5000 0.2761
Te 0.5000 0.5000 0.7239
Mo 0.0000 0.0000 0.5000
CELL_PARAMETERS angstrom
3.3765 0.0000 0.0000
0.0000 3.3765 0.0000
0.0000 0.0000 7.3456
```

Computed properties:
As for the excess energy over the best structure of this formula in the dataset: 0.10 eV per formula unit. Its density of states at the Fermi level is 2.025 states/eV per cell. The value obtained for the formation energy from raw total energies is -0.175 eV/atom.